## Zn2Co9O13 (GGA+U)

Data for an optimized crystal structure of Zn2Co9O13.

Calculated values
Its volume is 224.5 Å³/cell. Its symmetry is C2/m. Its electronic total energy is -5.560 eV per atom.

abc: 5.039 5.039 16.328
angles: 83.20 83.20 33.07
Site moments in Bohr magnetons follow the coordinates.
Positions (direct):
O 0.137 0.137 0.220  0.00
Co 0.068 0.068 0.117  -0.05
Co 0.753 0.753 0.586  2.62
O 0.301 0.301 0.929  0.03
Co 0.995 0.995 0.670  0.88
O 0.878 0.878 0.471  0.05
Zn 0.784 0.784 0.228  0.01
O 0.602 0.602 0.389  0.01
O 0.122 0.122 0.529  0.05
Co 0.932 0.932 0.883  -0.05
Co 0.005 0.005 0.330  0.88
O 0.629 0.629 0.691  0.03
Co 0.644 0.644 0.960  -0.83
Co 0.500 0.500 0.500  0.18
O 0.371 0.371 0.309  0.03
O 0.699 0.699 0.071  0.03
Co 0.356 0.356 0.040  -0.83
O 0.863 0.863 0.780  0.00
O 0.000 0.000 0.000  0.07
O 0.566 0.566 0.858  0.03
O 0.398 0.398 0.611  0.01
Co 0.247 0.247 0.414  2.62
O 0.434 0.434 0.142  0.03
Zn 0.216 0.216 0.772  0.01

---

## ZnCo3O (GGA+U)

Data for an optimized crystal structure of ZnCo3O.

Calculated values
Its volume is 59.3 Å³/cell. Its symmetry is Pm-3m. Its electronic total energy is -4.153 eV per atom.

abc: 3.901 3.901 3.901
angles: 90.00 90.00 90.00
Site moments in Bohr magnetons follow the coordinates.
Positions (direct):
O 0.000 0.000 0.000  -0.17
Co 0.500 0.000 0.000  1.22
Co 0.000 0.500 0.000  1.39
Zn 0.500 0.500 0.500  -0.13
Co 0.000 0.000 0.500  1.60

---

## Zn3CoO (GGA+U)

Data for an optimized crystal structure of Zn3CoO.

Calculated values
Its volume is 70.8 Å³/cell. Its symmetry is Pm-3m. Its electronic total energy is -2.707 eV per atom.

abc: 4.138 4.138 4.138
angles: 90.00 90.00 90.00
Site moments in Bohr magnetons follow the coordinates.
Positions (direct):
Co 0.500 0.500 0.500  1.90
Zn 0.000 0.500 0.000  -0.07
Zn 0.000 0.000 0.500  -0.06
O 0.000 0.000 0.000  -0.16
Zn 0.500 0.000 0.000  -0.08

---

## ZnCo2O3 (GGA+U)

Data for an optimized crystal structure of ZnCo2O3.

Calculated values
Its volume is 120.4 Å³/cell. Its symmetry is C2/c. Its electronic total energy is -5.469 eV per atom.

abc: 4.313 6.116 5.273
angles: 106.76 114.14 90.00
Site moments in Bohr magnetons follow the coordinates.
Positions (direct):
Co 0.332 0.417 0.666  2.73
O 0.168 0.584 0.336  0.14
O 0.832 0.416 0.664  0.14
Zn 0.001 0.250 0.000  0.02
Co 0.668 0.583 0.334  2.73
Co 0.666 0.083 0.334  2.73
Co 0.334 0.917 0.666  2.73
O 0.168 0.084 0.336  0.14
O 0.499 0.750 0.000  0.14
O 0.501 0.250 0.000  0.14
Zn 0.999 0.750 0.000  0.02
O 0.832 0.916 0.664  0.14